# 1
First-principles (PBE) data for a relaxed ZnSnBr2 crystal, as listed in Alexandria via LeMat-Bulk.

Geometry as extended XYZ:
```
4
Lattice="2.496 0.000 10.977 -1.248 2.162 10.977 -1.248 -2.162 10.977" Properties=species:S:1:pos:R:3 pbc="T T T"
Zn 0.000 0.000 0.000
Sn 0.000 0.000 16.466
Br 0.000 0.000 29.150
Br 0.000 0.000 3.782
```

Computed properties:
* excess energy over the best structure of this formula in the dataset: 0.023 eV/atom
* DFT total energy: -2.4663 eV per atom
* formation energy (no corrections): -0.3106 eV/atom
* DOS(E_F): 0.00 states/eV/cell
* crystal system: trigonal

# 2
First-principles (PBE) data for a relaxed Tb2Pm2YEr crystal, as listed in Alexandria via LeMat-Bulk.

Geometry as extended XYZ:
```
12
Lattice="-0.833 5.075 -2.341 -5.346 -2.607 -3.749 -6.197 2.315 7.227" Properties=species:S:1:pos:R:3 pbc="T T T"
Tb -6.569 1.268 5.087
Tb -3.843 2.632 0.255
Tb -5.057 -1.599 -1.668
Tb -8.613 2.112 0.826
Pm -0.458 2.518 -1.199
Pm -2.463 -0.266 0.299
Pm -9.328 3.530 4.153
Pm -9.163 -0.065 3.121
Y -3.139 1.138 3.585
Y -5.812 -0.165 1.711
Er -5.886 3.396 2.638
Er -6.570 1.349 -1.556
```

Computed properties:
* DFT total energy: -4.9040 eV per atom
* ΔE_f: 61 meV per atom
* DOS(E_F): 18.84 states/eV/cell
* crystal system: orthorhombic